Entry from Alexandria via LeMat-Bulk: a relaxed GaSe3F crystal (GGA-PBEsol).

Unit cell a=4.843 b=4.843 c=4.843 alpha=90.00 beta=90.00 gamma=90.00
Fractional positions:
Ga: 0.000 0.000 0.000
Se: 0.000 0.000 0.500
Se: 0.000 0.500 0.000
Se: 0.500 0.000 0.000
F: 0.500 0.500 0.500

Results
Formation energy (no corrections), eV per atom: 0.33
DOS(E_F), states/eV per atom: 1.16